Crystalline Ta2FeO6 at its relaxed geometry. Source: the Alexandria database, functional PBE with a Hubbard U.

```
Ta2FeO6
1.0
4.824 0.000 0.000
0.000 4.824 0.000
0.000 0.000 9.276
Ta Fe O
4 2 12
Cartesian
0.000 0.000 1.571
0.000 0.000 7.705
2.412 2.412 3.067
2.412 2.412 6.209
0.000 0.000 4.638
2.412 2.412 0.000
0.904 0.904 0.000
0.998 0.998 2.964
0.998 0.998 6.313
1.414 3.410 1.674
1.414 3.410 7.602
1.508 3.316 4.638
3.316 1.508 4.638
3.410 1.414 1.674
3.410 1.414 7.602
3.826 3.826 2.964
3.826 3.826 6.313
3.920 3.920 0.000
```

DFT total energy	-9.1339	eV/atom
M_tot	4.0	μB per formula unit
ΔE to the lowest computed polymorph	0.00	kcal/mol of atoms